a) DFT (PBE-GGA) results for a relaxed structure of AsIrPb2.

Values from the calculation:
crystal system	orthorhombic

The structure in CIF format:
```
data_AsIrPb2
_symmetry_space_group_name_H-M 'P 1'
_symmetry_Int_Tables_number 1
_symmetry_space_group_name_Hall 'P 1'
_cell_length_a 3.348
_cell_length_b 3.415
_cell_length_c 8.181
_cell_angle_alpha 90.00
_cell_angle_beta 90.00
_cell_angle_gamma 90.00
loop_
_atom_site_label
_atom_site_fract_x
_atom_site_fract_y
_atom_site_fract_z
Pb1 0.500 0.500 0.298
Pb2 0.000 0.000 0.945
Ir1 0.500 0.500 0.687
As1 0.000 0.000 0.569
```

b) DFT (PBE-GGA) results for a relaxed structure of AsIrPb2.

Values from the calculation:
crystal system	orthorhombic

The structure in CIF format:
```
data_AsIrPb2
_symmetry_space_group_name_H-M 'P 1'
_symmetry_Int_Tables_number 1
_symmetry_space_group_name_Hall 'P 1'
_cell_length_a 8.022
_cell_length_b 8.022
_cell_length_c 3.679
_cell_angle_alpha 76.78
_cell_angle_beta 76.78
_cell_angle_gamma 25.70
loop_
_atom_site_label
_atom_site_fract_x
_atom_site_fract_y
_atom_site_fract_z
As1 0.750 0.750 0.750
Pb1 0.589 0.589 0.411
Ir1 0.250 0.250 0.250
Pb2 0.911 0.911 0.089
```

c) DFT (PBE-GGA) results for a relaxed structure of AsIrPb2.

Values from the calculation:
crystal system	orthorhombic

The structure in CIF format:
```
data_AsIrPb2
_symmetry_space_group_name_H-M 'P 1'
_symmetry_Int_Tables_number 1
_symmetry_space_group_name_Hall 'P 1'
_cell_length_a 4.459
_cell_length_b 5.031
_cell_length_c 5.030
_cell_angle_alpha 63.79
_cell_angle_beta 90.00
_cell_angle_gamma 90.00
loop_
_atom_site_label
_atom_site_fract_x
_atom_site_fract_y
_atom_site_fract_z
As1 0.000 0.572 0.572
Ir1 0.500 0.693 0.693
Pb1 0.500 0.314 0.314
Pb2 0.000 0.921 0.921
```

Which structure wins on stability? c) wins.